The following is a PBE-GGA calculation of a relaxed LaMg2Rh2 crystal, from Alexandria.

Values from the calculation:
ΔH_f (0 K): -0.529 eV per atom
space-group type: I4/mmm (139)
calculated total energy: -5.093 eV per atom
E above lowest polymorph: 0.012 eV/atom

Unit cell a=6.660 b=6.660 c=6.660 alpha=143.53 beta=143.53 gamma=52.53
Fractional coordinates of all 5 atoms:
La  0.000  0.000  0.000
Mg  0.250  0.750  0.500
Mg  0.750  0.250  0.500
Rh  0.392  0.392  0.000
Rh  0.608  0.608  0.000

The following is a PBE-GGA calculation of a relaxed CaMg2Br crystal, from Alexandria.

Values from the calculation:
space-group type: I-42d (122)
calculated total energy: -2.068 eV per atom
ΔE_f (raw): -0.352 eV/atom
E above lowest polymorph: 0.203 eV/atom

Unit cell a=7.016 b=7.016 c=7.016 alpha=100.59 beta=100.59 gamma=129.23
Fractional coordinates of all 8 atoms:
Ca  0.000  0.000  0.000
Ca  0.750  0.250  0.500
Mg  0.158  0.625  0.033
Mg  0.375  0.408  0.533
Mg  0.592  0.125  0.967
Mg  0.875  0.842  0.467
Br  0.250  0.750  0.500
Br  0.500  0.500  0.000

The following is a PBE-GGA calculation of a relaxed YTlCuNi crystal, from Alexandria.

Values from the calculation:
ΔH_f (0 K): -0.160 eV per atom
space-group type: F-43m (216)
calculated total energy: -4.837 eV per atom

Unit cell a=4.699 b=4.699 c=4.699 alpha=60.00 beta=60.00 gamma=60.00
Fractional coordinates of all 4 atoms:
Y  0.000  0.000  0.000
Tl  0.500  0.500  0.500
Cu  0.750  0.750  0.750
Ni  0.250  0.250  0.250